Compound: BeCoRe3
Source: Alexandria
Functional: GGA-PBEsol
Structure: relaxed

For the excess energy over the best structure of this formula in the dataset, the calculation gives 990 meV/atom. For the size of the total moment, the calculation gives 0.0 μB per cell. As for the space group: Pm-3m. The calculation puts the energy relative to the elements at 1.92 eV/atom.

Geometry as extended XYZ:
```
5
Lattice="4.3292 0.0000 0.0000 0.0000 4.3292 0.0000 0.0000 0.0000 4.3292" Properties=species:S:1:pos:R:3 pbc="T T T"
Be 0.0000 0.0000 0.0000
Co 2.1646 2.1646 2.1646
Re 0.0000 2.1646 2.1646
Re 2.1646 0.0000 2.1646
Re 2.1646 2.1646 0.0000
```